one:
# PBE HoScTlOs, optimized geometry
# - DOS at the Fermi energy (states/eV per atom) = 0.4775
# - crystal system = tetragonal
data_HoScTlOs
_chemical_formula_sum 'Ho1 Sc1 Tl1 Os1'
_cell_length_a 3.3122
_cell_length_b 3.3122
_cell_length_c 8.0193
_cell_angle_alpha 90.00
_cell_angle_beta 90.00
_cell_angle_gamma 90.00
_symmetry_space_group_name_H-M 'P 4 m m'
_symmetry_Int_Tables_number 99
loop_
_symmetry_equiv_pos_as_xyz
'x,y,z'
'-y,x,z'
'-x,-y,z'
'y,-x,z'
'-x,y,z'
'y,x,z'
'x,-y,z'
'-y,-x,z'
loop_
_atom_site_label
_atom_site_fract_x
_atom_site_fract_y
_atom_site_fract_z
Ho1 0.0000 0.0000 0.0000
Sc1 0.0000 0.0000 0.5992
Tl1 0.5000 0.5000 0.3166
Os1 0.5000 0.5000 0.7826

=====

two:
# PBE HoScTlOs, optimized geometry
# - DOS at the Fermi energy (states/eV per atom) = 0.8831
# - crystal system = cubic
data_HoScTlOs
_chemical_formula_sum 'Ho4 Sc4 Tl4 Os4'
_cell_length_a 6.9614
_cell_length_b 6.9614
_cell_length_c 6.9614
_cell_angle_alpha 90.00
_cell_angle_beta 90.00
_cell_angle_gamma 90.00
_symmetry_space_group_name_H-M 'F -4 3 m'
_symmetry_Int_Tables_number 216
_symmetry_space_group_name_Hall 'F -4 2 3'
loop_
_atom_site_label
_atom_site_fract_x
_atom_site_fract_y
_atom_site_fract_z
Ho1 0.0000 0.0000 0.0000
Sc1 0.0000 0.0000 0.5000
Tl1 0.2500 0.2500 0.7500
Os1 0.2500 0.2500 0.2500

=====

The structures above, arranged from the most stable to the least stable: one, two.